<w>
{
  "formula": "SrLi2Ta",
  "functional": "PBE-GGA",
  "state": "optimized geometry",
  "cell": [[-1.713, -1.256, -2.248], [-0.103, -2.664, 1.568], [-8.007, 2.936, 4.460]],
  "species": ["Ta", "Li", "Li", "Sr"],
  "frac_coords": [[0.500, 0.500, 0.786], [0.500, 0.500, 0.201], [0.000, 0.000, 0.996], [0.000, 0.000, 0.516]]
}

***

<x>
{
  "formula": "SrLi2Ta",
  "functional": "PBE-GGA",
  "state": "optimized geometry",
  "cell": [[-2.595, -1.476, 0.831], [1.319, -2.715, -0.700], [3.219, -0.707, 8.801]],
  "species": ["Ta", "Li", "Li", "Sr"],
  "frac_coords": [[0.500, 0.500, 0.750], [0.000, 0.000, 0.959], [0.000, 0.000, 0.541], [0.500, 0.500, 0.250]]
}

***

<y>
{
  "formula": "SrLi2Ta",
  "functional": "PBE-GGA",
  "state": "optimized geometry",
  "cell": [[5.266, 0.000, 0.000], [2.633, 4.561, 0.000], [2.633, 1.520, 4.300]],
  "species": ["Li", "Li", "Sr", "Ta"],
  "frac_coords": [[0.250, 0.250, 0.250], [0.000, 0.000, 0.000], [0.500, 0.500, 0.500], [0.750, 0.750, 0.750]]
}

***

Least stable structure: <y>

***

<w>
{
  "formula": "SrLi2Ta",
  "functional": "PBE-GGA",
  "state": "optimized geometry",
  "cell": [[6.123, 0.000, 0.001], [-2.898, 5.374, 0.003], [0.328, 0.771, 2.777]],
  "species": ["Li", "Li", "Sr", "Ta"],
  "frac_coords": [[0.000, 0.000, 0.000], [0.500, 0.000, 0.500], [0.000, 0.500, 0.500], [0.500, 0.500, 0.000]]
}

***

<x>
{
  "formula": "SrLi2Ta",
  "functional": "PBE-GGA",
  "state": "optimized geometry",
  "cell": [[11.223, 0.040, 0.024], [10.778, 3.129, 0.024], [10.778, 1.553, 2.717]],
  "species": ["Li", "Li", "Sr", "Ta"],
  "frac_coords": [[0.490, 0.490, 0.490], [0.010, 0.010, 0.010], [0.250, 0.250, 0.250], [0.750, 0.750, 0.750]]
}

***

Least stable structure: <w>

***

<w>
{
  "formula": "SrLi2Ta",
  "functional": "PBE-GGA",
  "state": "optimized geometry",
  "cell": [[8.009, 0.000, 0.000], [0.000, 8.009, 0.000], [4.004, 4.004, 3.179]],
  "species": ["Li", "Li", "Li", "Li", "Sr", "Sr", "Ta", "Ta"],
  "frac_coords": [[0.875, 0.905, 0.750], [0.655, 0.125, 0.250], [0.375, 0.345, 0.750], [0.095, 0.625, 0.250], [0.500, 0.500, 0.000], [0.250, 0.750, 0.500], [0.000, 0.000, 0.000], [0.750, 0.250, 0.500]]
}

***

<x>
{
  "formula": "SrLi2Ta",
  "functional": "PBE-GGA",
  "state": "optimized geometry",
  "cell": [[5.319, 0.000, 0.000], [0.000, 5.319, 0.000], [0.000, 0.000, 3.045]],
  "species": ["Li", "Li", "Ta", "Sr"],
  "frac_coords": [[0.000, 0.000, 0.000], [0.500, 0.500, 0.000], [0.000, 0.500, 0.500], [0.500, 0.000, 0.500]]
}

***

<y>
{
  "formula": "SrLi2Ta",
  "functional": "PBE-GGA",
  "state": "optimized geometry",
  "cell": [[-3.189, -3.193, -4.812], [2.971, -4.746, -3.487], [-2.447, 2.559, 5.566]],
  "species": ["Li", "Li", "Ta", "Sr"],
  "frac_coords": [[0.027, 0.027, 0.000], [0.473, 0.473, 0.000], [0.250, 0.750, 0.500], [0.750, 0.250, 0.500]]
}

***

<z>
{
  "formula": "SrLi2Ta",
  "functional": "PBE-GGA",
  "state": "optimized geometry",
  "cell": [[0.000, 3.612, 3.612], [3.612, 0.000, 3.612], [3.612, 3.612, 0.000]],
  "species": ["Li", "Li", "Ta", "Sr"],
  "frac_coords": [[0.250, 0.250, 0.250], [0.750, 0.750, 0.750], [0.500, 0.500, 0.500], [0.000, 0.000, 0.000]]
}

***

Least stable structure: <w>

***

<w>
{
  "formula": "SrLi2Ta",
  "functional": "PBE-GGA",
  "state": "optimized geometry",
  "cell": [[5.893, 0.113, 0.702], [5.118, 2.923, 0.702], [1.630, 0.449, 5.433]],
  "species": ["Sr", "Ta", "Li", "Li"],
  "frac_coords": [[0.516, 0.516, 0.433], [0.729, 0.729, 0.826], [0.976, 0.976, 0.945], [0.279, 0.279, 0.296]]
}

***

<x>
{
  "formula": "SrLi2Ta",
  "functional": "PBE-GGA",
  "state": "optimized geometry",
  "cell": [[-1.240, 4.392, -1.875], [-2.093, -1.243, -1.527], [-4.549, 0.670, 4.576]],
  "species": ["Sr", "Li", "Li", "Ta"],
  "frac_coords": [[0.500, 0.250, 0.250], [0.000, 0.369, 0.556], [0.000, 0.131, 0.944], [0.500, 0.750, 0.750]]
}

***

<y>
{
  "formula": "SrLi2Ta",
  "functional": "PBE-GGA",
  "state": "optimized geometry",
  "cell": [[5.749, 0.016, 0.000], [-2.176, 5.321, 0.000], [0.000, 0.000, 2.905]],
  "species": ["Li", "Li", "Ta", "Sr"],
  "frac_coords": [[0.000, 0.000, 0.000], [0.500, 0.500, 0.000], [0.000, 0.500, 0.500], [0.500, 0.000, 0.500]]
}

***

Least stable structure: <y>